A plane-wave DFT calculation with PBE was carried out for a relaxed structure of RbRhSe2Br.

a b c (Å): 6.1912 6.1912 6.2186
angles (deg): 90.00 90.00 90.00
With the nearest neighbours (Å) after each atom.
Fractional coordinates of all 5 atoms:
1 Rh 0.5000 0.5000 0.5000  4 Br 4.38, 8 Se 4.39
2 Se 0.0000 0.5000 0.0000  2 Rb 3.10
3 Se 0.5000 0.0000 0.0000  2 Rb 3.10
4 Rb 0.0000 0.0000 0.0000  4 Se 3.10, 2 Br 3.11
5 Br 0.0000 0.0000 0.5000  2 Rb 3.11

Summary:
Crystal system: tetragonal
Fermi-level density of states: 7.5 states/eV/cell
Final energy: -10.6 eV/f.u.
Uncorrected formation energy: 1.268 eV per atom